Compound: K2LaNpO6
Source: the Alexandria database
Functional: PBE-GGA
Structure: relaxed

Lattice parameters (Å, degrees): 8.8427 8.8427 8.8427 90.00 90.00 90.00
Last column: nearest neighbours and their distance in Å.
Space group Fm-3m (No. 225)
Asymmetric unit:
1 K 0.2500 0.2500 0.2500 [8 per cell]  12 O 3.13
2 La 0.0000 0.0000 0.0000 [4 per cell]  6 O 2.39
3 Np 0.0000 0.0000 0.5000 [4 per cell]  6 O 2.03
4 O 0.0000 0.0000 0.2703 [24 per cell]  1 Np 2.03

## Properties
The size of the total moment comes out at 0.000 Bohr magnetons per cell. The uncorrected formation energy comes out at -26.59 eV per formula unit.

Compound: KLa2NpO8
Source: the Alexandria database
Functional: PBE-GGA
Structure: relaxed

Lattice parameters (Å, degrees): 4.1694 8.4309 5.4735 90.00 96.66 90.00
Last column: nearest neighbours and their distance in Å.
Space group P2/m (No. 10)
Asymmetric unit:
1 K 0.0000 0.0000 0.0000 [1 per cell]  8 O 2.84-2.94
2 La 0.5000 0.2776 0.5000 [2 per cell]  8 O 2.41-2.56
3 Np 0.0000 0.5000 0.0000 [1 per cell]  6 O 2.05-2.08
4 O 0.0426 0.3122 0.7670 [4 per cell]  1 Np 2.05
5 O 0.4407 0.5000 0.2230 [2 per cell]  1 Np 2.08
6 O 0.4619 0.0000 0.6318 [2 per cell]  1 O 1.51

## Properties
The size of the total moment comes out at 0.040 Bohr magnetons per cell. The uncorrected formation energy comes out at -31.74 eV per formula unit.

Compound: K2La2NpO6
Source: the Alexandria database
Functional: PBE-GGA
Structure: relaxed

Lattice parameters (Å, degrees): 6.3625 10.9435 6.6665 90.00 107.03 90.00
Last column: nearest neighbours and their distance in Å.
Space group C2/m (No. 12)
Asymmetric unit:
1 K 0.0000 0.1635 0.0000 [4 per cell]  6 O 2.85-3.08
2 La 0.0000 0.3341 0.5000 [4 per cell]  6 O 2.39-2.50
3 Np 0.0000 0.0000 0.5000 [2 per cell]  6 O 2.19-2.31
4 O 0.2060 0.1624 0.6739 [8 per cell]  1 Np 2.31, 2 La 2.39-2.47
5 O 0.2408 0.0000 0.3236 [4 per cell]  1 Np 2.19

## Properties
The size of the total moment comes out at 6.000 Bohr magnetons per cell. The uncorrected formation energy comes out at -30.17 eV per formula unit.

Compound: KLa2NpO6
Source: the Alexandria database
Functional: PBE-GGA
Structure: relaxed

Lattice parameters (Å, degrees): 6.2008 6.2008 16.1202 90.00 90.00 120.00
Last column: nearest neighbours and their distance in Å.
Space group R3 (No. 146, hexagonal axes)
Asymmetric unit:
1 K 0.0000 0.0000 0.0000 [3 per cell]  3 O 2.65
2 La 0.0000 0.0000 0.2610 [3 per cell]  6 O 2.40-2.55
3 La 0.0000 0.0000 0.7745 [3 per cell]  6 O 2.36-2.54
4 Np 0.0000 0.0000 0.4711 [3 per cell]  6 O 2.14-2.19
5 O 0.0116 0.3575 0.1988 [9 per cell]  1 Np 2.19, 1 La 2.40
6 O 0.0430 0.7650 0.3834 [9 per cell]  1 Np 2.14, 1 La 2.36

## Properties
The size of the total moment comes out at 6.000 Bohr magnetons per cell. The uncorrected formation energy comes out at -30.07 eV per formula unit.

Compound: KLaNpO6
Source: the Alexandria database
Functional: PBE-GGA
Structure: relaxed

Lattice parameters (Å, degrees): 6.0819 6.0819 9.6127 90.00 90.00 120.00
Last column: nearest neighbours and their distance in Å.
Space group P-31c (No. 163)
Asymmetric unit:
1 K 0.3333 0.6667 0.2500 [2 per cell]  6 O 2.67
2 La 0.0000 0.0000 0.0000 [2 per cell]  6 O 2.44
3 Np 0.3333 0.6667 0.7500 [2 per cell]  6 O 2.01
4 O 0.0840 0.3807 0.6288 [12 per cell]  1 Np 2.01

## Properties
The size of the total moment comes out at 2.059 Bohr magnetons per cell. The uncorrected formation energy comes out at -21.88 eV per formula unit.

Compound: K4LaNp3O12
Source: the Alexandria database
Functional: PBE-GGA
Structure: relaxed

Lattice parameters (Å, degrees): 8.7105 8.7105 8.7105 90.00 90.00 90.00
Last column: nearest neighbours and their distance in Å.
Space group Im-3m (No. 229)
Asymmetric unit:
1 K 0.2500 0.2500 0.2500 [8 per cell]  12 O 3.08-3.09
2 La 0.0000 0.0000 0.0000 [2 per cell]  6 O 2.37
3 Np 0.0000 0.0000 0.5000 [6 per cell]  6 O 1.99-2.18
4 O 0.0000 0.0000 0.2718 [12 per cell]  1 Np 1.99
5 O 0.0000 0.2500 0.5000 [12 per cell]  2 Np 2.18

## Properties
The size of the total moment comes out at 8.000 Bohr magnetons per cell. The uncorrected formation energy comes out at -54.36 eV per formula unit.

Compound: KLaNp2O8
Source: the Alexandria database
Functional: PBE-GGA
Structure: relaxed

Lattice parameters (Å, degrees): 5.6083 5.6083 10.6366 90.00 90.00 90.00
Last column: nearest neighbours and their distance in Å.
Space group I-4 (No. 82)
Asymmetric unit:
1 K 0.0000 0.0000 0.0000 [2 per cell]  8 O 2.55-2.60
2 La 0.0000 0.5000 0.7500 [2 per cell]  8 O 2.48
3 Np 0.0000 0.0000 0.5000 [2 per cell]  4 O 2.08
4 Np 0.0000 0.5000 0.2500 [2 per cell]  4 O 2.10
5 O 0.2086 0.2631 0.3567 [8 per cell]  1 Np 2.10
6 O 0.2149 0.2164 0.6115 [8 per cell]  1 Np 2.08

## Properties
The size of the total moment comes out at 4.000 Bohr magnetons per cell. The uncorrected formation energy comes out at -32.00 eV per formula unit.

Compound: K2LaNpO4
Source: the Alexandria database
Functional: PBE-GGA
Structure: relaxed

Lattice parameters (Å, degrees): 6.3178 3.6402 6.6648 90.00 108.71 90.00
Last column: nearest neighbours and their distance in Å.
Space group P2/m (No. 10)
Asymmetric unit:
1 K 0.0000 0.0000 0.0000 [1 per cell]  6 O 2.91-2.93
2 K 0.5000 0.5000 0.0000 [1 per cell]  6 O 2.82-2.84
3 La 0.0000 0.5000 0.5000 [1 per cell]  6 O 2.46-2.50
4 Np 0.5000 0.0000 0.5000 [1 per cell]  6 O 2.37-2.38
5 O 0.2421 0.0000 0.6916 [2 per cell]  1 Np 2.37, 2 La 2.46
6 O 0.2843 0.5000 0.3114 [2 per cell]  2 Np 2.38, 1 La 2.50

## Properties
The size of the total moment comes out at 4.001 Bohr magnetons per cell. The uncorrected formation energy comes out at -19.35 eV per formula unit.

Compound: K3LaNp2S6
Source: the Alexandria database
Functional: PBE-GGA
Structure: relaxed

Lattice parameters (Å, degrees): 7.2079 12.4845 7.7500 90.00 108.10 90.00
Last column: nearest neighbours and their distance in Å.
Space group C2/m (No. 12)
Asymmetric unit:
1 K 0.0000 0.0000 0.0000 [2 per cell]  6 S 3.18-3.28
2 K 0.0000 0.3348 0.0000 [4 per cell]  6 S 3.19-3.28
3 La 0.0000 0.5000 0.5000 [2 per cell]  6 S 2.91
4 Np 0.0000 0.1668 0.5000 [4 per cell]  6 S 2.80
5 S 0.2227 0.0000 0.7037 [4 per cell]  2 Np 2.80, 1 La 2.91
6 S 0.2406 0.3274 0.7035 [8 per cell]  2 Np 2.80, 1 La 2.91

## Properties
The size of the total moment comes out at 16.000 Bohr magnetons per cell. The uncorrected formation energy comes out at -18.68 eV per formula unit.

Compound: K4La3NpS8
Source: the Alexandria database
Functional: PBE-GGA
Structure: relaxed

Lattice parameters (Å, degrees): 8.5120 8.5120 22.0819 90.00 90.00 120.00
Last column: nearest neighbours and their distance in Å.
Space group R-3m (No. 166, hexagonal axes)
Asymmetric unit:
1 K 0.0000 0.0000 0.0000 [3 per cell]  6 S 3.32
2 K 0.0000 0.5000 0.0000 [9 per cell]  6 S 3.26
3 La 0.0000 0.5000 0.5000 [9 per cell]  6 S 2.90-2.91
4 Np 0.0000 0.0000 0.5000 [3 per cell]  6 S 2.84
5 S 0.0000 0.0000 0.2365 [6 per cell]  3 La 2.90
6 S 0.0079 0.5039 0.2351 [18 per cell]  1 Np 2.84, 2 La 2.91

## Properties
The size of the total moment comes out at 12.000 Bohr magnetons per cell. The uncorrected formation energy comes out at -28.46 eV per formula unit.

Compound: KLa2NpS5
Source: the Alexandria database
Functional: PBE-GGA
Structure: relaxed

Lattice parameters (Å, degrees): 5.0499 7.2703 14.2665 90.00 90.00 90.00
Last column: nearest neighbours and their distance in Å.
Space group Immm (No. 71)
Asymmetric unit:
1 K 0.0000 0.0000 0.0000 [2 per cell]  10 S 3.64-3.84
2 La 0.0000 0.5000 0.2064 [4 per cell]  3 S 2.81-2.95
3 Np 0.0000 0.0000 0.5000 [2 per cell]  6 S 2.52-2.74
4 S 0.0000 0.2343 0.3496 [8 per cell]  1 Np 2.74, 1 La 2.81
5 S 0.0000 0.5000 0.0000 [2 per cell]  2 Np 2.52

## Properties
The size of the total moment comes out at 8.004 Bohr magnetons per cell. The uncorrected formation energy comes out at -15.70 eV per formula unit.

Compound: K2LaNpSe4
Source: the Alexandria database
Functional: PBE-GGA
Structure: relaxed

Lattice parameters (Å, degrees): 7.5817 4.3629 8.0702 90.00 108.28 90.00
Last column: nearest neighbours and their distance in Å.
Space group P2/m (No. 10)
Asymmetric unit:
1 K 0.0000 0.0000 0.0000 [1 per cell]  6 Se 3.40
2 K 0.5000 0.5000 0.0000 [1 per cell]  6 Se 3.33-3.34
3 La 0.0000 0.5000 0.5000 [1 per cell]  6 Se 3.02-3.03
4 Np 0.5000 0.0000 0.5000 [1 per cell]  6 Se 2.95-2.96
5 Se 0.2437 0.0000 0.7115 [2 per cell]  1 Np 2.96, 2 La 3.02
6 Se 0.2724 0.5000 0.2938 [2 per cell]  2 Np 2.95, 1 La 3.03

## Properties
The size of the total moment comes out at 4.000 Bohr magnetons per cell. The uncorrected formation energy comes out at -12.27 eV per formula unit.

Compound: K3LaNp2Se6
Source: the Alexandria database
Functional: PBE-GGA
Structure: relaxed

Lattice parameters (Å, degrees): 7.5057 13.0004 8.0690 90.00 108.09 90.00
Last column: nearest neighbours and their distance in Å.
Space group C2/m (No. 12)
Asymmetric unit:
1 K 0.0000 0.0000 0.0000 [2 per cell]  6 Se 3.31-3.38
2 K 0.0000 0.3351 0.0000 [4 per cell]  6 Se 3.32-3.39
3 La 0.0000 0.5000 0.5000 [2 per cell]  6 Se 3.03
4 Np 0.0000 0.1669 0.5000 [4 per cell]  6 Se 2.94
5 Se 0.2265 0.0000 0.7080 [4 per cell]  2 Np 2.94, 1 La 3.03
6 Se 0.2409 0.3286 0.7081 [8 per cell]  2 Np 2.94, 1 La 3.03

## Properties
The size of the total moment comes out at 16.000 Bohr magnetons per cell. The uncorrected formation energy comes out at -17.26 eV per formula unit.

Compound: K3La2NpTe6
Source: the Alexandria database
Functional: PBE-GGA
Structure: relaxed

Lattice parameters (Å, degrees): 8.1080 14.0160 8.6398 90.00 108.15 90.00
Last column: nearest neighbours and their distance in Å.
Space group C2/m (No. 12)
Asymmetric unit:
1 K 0.0000 0.0000 0.0000 [2 per cell]  6 Te 3.56-3.61
2 K 0.0000 0.3315 0.0000 [4 per cell]  6 Te 3.56-3.60
3 La 0.0000 0.1659 0.5000 [4 per cell]  6 Te 3.24-3.26
4 Np 0.0000 0.5000 0.5000 [2 per cell]  6 Te 3.18
5 Te 0.2352 0.3367 0.7142 [8 per cell]  1 Np 3.18, 2 La 3.24-3.26, 1 K 3.56
6 Te 0.2447 0.0000 0.7150 [4 per cell]  1 Np 3.18, 2 La 3.24

## Properties
The size of the total moment comes out at 8.000 Bohr magnetons per cell. The uncorrected formation energy comes out at -15.47 eV per formula unit.

Compound: K3La3NpTe8
Source: the Alexandria database
Functional: PBE-GGA
Structure: relaxed

Lattice parameters (Å, degrees): 9.3129 9.3129 24.9753 90.00 90.00 120.00
Last column: nearest neighbours and their distance in Å.
Space group R-3m (No. 166, hexagonal axes)
Asymmetric unit:
1 K 0.0000 0.5000 0.0000 [9 per cell]  6 Te 3.58-3.59
2 La 0.0000 0.5000 0.5000 [9 per cell]  6 Te 3.24
3 Np 0.0000 0.0000 0.5000 [3 per cell]  6 Te 3.09
4 Te 0.0000 0.0000 0.2389 [6 per cell]  3 La 3.24, 3 K 3.58
5 Te 0.0143 0.5072 0.2355 [18 per cell]  1 Np 3.09, 2 La 3.24

## Properties
The size of the total moment comes out at 9.000 Bohr magnetons per cell. The uncorrected formation energy comes out at -19.51 eV per formula unit.

Compound: KLaO
Source: the Alexandria database
Functional: PBE-GGA
Structure: relaxed

Lattice parameters (Å, degrees): 4.8218 4.8218 9.7569 90.00 90.00 90.00
Last column: nearest neighbours and their distance in Å.
Space group P4/nmm (No. 129, origin choice 2)
Asymmetric unit:
1 K 0.2500 0.2500 0.1461 [2 per cell]  1 O 2.99
2 La 0.2500 0.7500 0.5000 [2 per cell]  4 O 2.46
3 O 0.2500 0.2500 0.4524 [2 per cell]  4 La 2.46

## Properties
The size of the total moment comes out at 0.000 Bohr magnetons per cell. The uncorrected formation energy comes out at -4.92 eV per formula unit.

Compound: KLaO3
Source: the Alexandria database
Functional: PBE-GGA
Structure: relaxed

Lattice parameters (Å, degrees): 4.2247 4.2247 4.2247 90.00 90.00 90.00
Last column: nearest neighbours and their distance in Å.
Space group Pm-3m (No. 221)
Asymmetric unit:
1 K 0.0000 0.0000 0.0000 [1 per cell]  6 O 2.11
2 La 0.5000 0.5000 0.5000 [1 per cell]  12 O 2.99
3 O 0.0000 0.0000 0.5000 [3 per cell]  2 K 2.11

## Properties
The size of the total moment comes out at 0.000 Bohr magnetons per cell. The uncorrected formation energy comes out at -4.07 eV per formula unit.

Compound: KLa2O
Source: the Alexandria database
Functional: PBE-GGA
Structure: relaxed

Lattice parameters (Å, degrees): 3.8123 3.8123 31.8793 90.00 90.00 120.00
Last column: nearest neighbours and their distance in Å.
Space group R-3m (No. 166, hexagonal axes)
Asymmetric unit:
1 K 0.0000 0.0000 0.0000 [3 per cell]  6 K 3.81, 2 La 3.97
2 La 0.0000 0.0000 0.1246 [6 per cell]  3 O 2.58
3 O 0.0000 0.0000 0.5000 [3 per cell]  6 La 2.58

## Properties
The size of the total moment comes out at 3.947 Bohr magnetons per cell. The uncorrected formation energy comes out at -4.52 eV per formula unit.

Compound: KLaO
Source: the Alexandria database
Functional: PBE-GGA
Structure: relaxed

Lattice parameters (Å, degrees): 4.0270 4.0270 8.0920 90.00 90.00 120.00
Last column: nearest neighbours and their distance in Å.
Space group P3m1 (No. 156)
Asymmetric unit:
1 K 0.0000 0.0000 0.0000 [1 per cell]  6 K 4.03
2 La 0.6667 0.3333 0.4918 [1 per cell]  3 O 2.33
3 O 0.3333 0.6667 0.5029 [1 per cell]  3 La 2.33

## Properties
The size of the total moment comes out at 0.304 Bohr magnetons per cell. The uncorrected formation energy comes out at -4.90 eV per formula unit.

Compound: KLa2O2
Source: the Alexandria database
Functional: PBE-GGA
Structure: relaxed

Lattice parameters (Å, degrees): 4.2050 4.2050 19.7539 90.00 90.00 90.00
Last column: nearest neighbours and their distance in Å.
Space group I4/mmm (No. 139)
Asymmetric unit:
1 K 0.0000 0.0000 0.0000 [2 per cell]  4 K 4.21
2 La 0.0000 0.0000 0.3071 [4 per cell]  4 O 2.39
3 O 0.0000 0.5000 0.2500 [4 per cell]  4 La 2.39

## Properties
The size of the total moment comes out at 2.000 Bohr magnetons per cell. The uncorrected formation energy comes out at -11.12 eV per formula unit.

Compound: KLa2O
Source: the Alexandria database
Functional: PBE-GGA
Structure: relaxed

Lattice parameters (Å, degrees): 7.6412 7.6412 10.5368 90.00 90.00 90.00
Last column: nearest neighbours and their distance in Å.
Space group I-42d (No. 122)
Asymmetric unit:
1 K 0.0000 0.0000 0.0000 [4 per cell]  8 La 4.00-4.43
2 La 0.0742 0.7500 0.6250 [8 per cell]  2 O 2.39
3 O 0.0000 0.0000 0.5000 [4 per cell]  4 La 2.39

## Properties
The size of the total moment comes out at 7.994 Bohr magnetons per cell. The uncorrected formation energy comes out at -4.29 eV per formula unit.

Compound: K3LaO3
Source: the Alexandria database
Functional: PBE-GGA
Structure: relaxed

Lattice parameters (Å, degrees): 7.3129 7.7275 11.3026 90.00 90.00 90.00
Last column: nearest neighbours and their distance in Å.
Space group Imma (No. 74)
Asymmetric unit:
1 K 0.0000 0.2500 0.2208 [4 per cell]  5 O 2.71-2.94
2 K 0.2409 0.0000 0.0000 [8 per cell]  4 O 2.62-2.85
3 La 0.0000 0.2500 0.7822 [4 per cell]  5 O 2.25-2.45
4 O 0.0000 0.2500 0.9811 [4 per cell]  1 La 2.25
5 O 0.2500 0.0450 0.7500 [8 per cell]  2 La 2.45

## Properties
The size of the total moment comes out at 0.001 Bohr magnetons per cell. The uncorrected formation energy comes out at -13.54 eV per formula unit.